1.
NbV2Mo5 after structural relaxation. Source: the Alexandria database, functional GGA-PBE.

Properties
total magnetic moment = 0.0000 μB per atom
E_tot = -10.300 eV per atom

a = 4.502 Å, b = 5.340 Å, c = 10.429 Å
α = 89.02°, β = 90.00°, γ = 90.00°
Fractional positions:
Mo (0.000, 0.155, 0.247)
V (0.500, 0.169, 0.887)
Nb (0.000, 0.500, 0.000)
Nb (0.000, 0.000, 0.500)
Mo (0.500, 0.324, 0.127)
Mo (0.500, 0.676, 0.873)
Mo (0.000, 0.500, 0.500)
V (0.500, 0.655, 0.613)
Mo (0.500, 0.161, 0.628)
Mo (0.000, 0.655, 0.253)
V (0.500, 0.345, 0.387)
Mo (0.000, 0.845, 0.753)
Mo (0.500, 0.839, 0.372)
Mo (0.000, 0.000, 0.000)
Mo (0.000, 0.345, 0.747)
V (0.500, 0.831, 0.113)

2.
Nb2V4Mo5 after structural relaxation. Source: the Alexandria database, functional GGA-PBE.

Properties
total magnetic moment = 0.0000 μB per atom
energy above the lowest structure with this stoichiometry = 188 meV/atom

a = 5.213 Å, b = 6.626 Å, c = 6.190 Å
α = 72.86°, β = 65.10°, γ = 66.84°
Fractional positions:
Mo (0.000, 0.500, 0.500)
V (0.235, 0.438, 0.092)
Nb (0.682, 0.311, 0.325)
Mo (0.760, 0.818, 0.170)
V (0.257, 0.086, 0.400)
V (0.765, 0.562, 0.908)
V (0.743, 0.914, 0.600)
Mo (0.251, 0.818, 0.170)
Nb (0.318, 0.689, 0.675)
Mo (0.749, 0.182, 0.830)
Mo (0.240, 0.182, 0.830)

3.
NbV4Mo2 after structural relaxation. Source: the Alexandria database, functional GGA-PBE.

Properties
total magnetic moment = 0.0000 μB per atom
energy above the lowest structure with this stoichiometry = 264 meV/atom

a = 7.300 Å, b = 6.761 Å, c = 7.313 Å
α = 136.47°, β = 107.17°, γ = 92.12°
Fractional positions:
V (0.865, 0.051, 0.184)
V (0.270, 0.027, 0.265)
V (0.980, 0.723, 0.235)
Mo (0.625, 0.375, 0.250)
Mo (0.625, 0.875, 0.250)
Mo (0.125, 0.375, 0.750)
V (0.385, 0.699, 0.316)
Nb (0.148, 0.160, 0.011)
V (0.762, 0.029, 0.759)
V (0.875, 0.598, 0.724)
V (0.488, 0.721, 0.741)
Nb (0.102, 0.590, 0.489)
Mo (0.625, 0.375, 0.750)
V (0.375, 0.152, 0.776)